Record 1
Here is crystalline BaReO2F at its relaxed geometry from the Alexandria database. Energies are from GGA-PBE.

Output
Total magnetic moment = 3.977 Bohr magnetons per cell
Total DFT energy (no corrections) = -5.0186 eV/atom
Crystal system = tetragonal
D(E_F) = 2.569 states/eV per cell
Symmetry = P4/mmm, No. 123

The structure in extended XYZ format:
```
5
Lattice="4.9007 0.0000 0.0000 0.0000 4.9007 0.0000 0.0000 0.0000 4.8630" Properties=species:S:1:pos:R:3 pbc="T T T"
Ba 0.0000 0.0000 0.0000
O 0.0000 2.4503 0.0000
O 2.4503 0.0000 0.0000
F 0.0000 0.0000 2.4315
Re 2.4503 2.4503 2.4315
```

---

Record 2
Here is crystalline Er4CdRu3 at its relaxed geometry from the Alexandria database. Energies are from GGA-PBE.

Output
Total magnetic moment = 0.000 Bohr magnetons per cell
Total DFT energy (no corrections) = -6.2743 eV/atom
Crystal system = tetragonal
D(E_F) = 4.867 states/eV per cell
Symmetry = P4/mmm, No. 123

The structure in extended XYZ format:
```
16
Lattice="4.8337 0.0000 0.0000 0.0000 7.0235 0.0000 0.0000 0.0000 9.6665" Properties=species:S:1:pos:R:3 pbc="T T T"
Cd 0.0000 3.5118 0.0000
Cd 0.0000 3.5118 4.8333
Ru 2.4171 3.5118 2.4166
Ru 2.4172 0.0000 7.2499
Ru 2.4165 0.0000 2.4166
Ru 2.4167 3.5118 7.2499
Ru 0.0000 0.0000 4.8333
Ru 0.0000 0.0000 0.0000
Er 4.8332 5.3798 7.2499
Er 2.4169 5.3797 0.0000
Er 4.8332 1.6437 7.2499
Er 2.4169 1.6438 0.0000
Er 2.4169 1.6438 4.8333
Er 2.4169 5.3797 4.8333
Er 0.0005 1.6437 2.4166
Er 0.0005 5.3798 2.4166
```